--- one ---
The following is a DFT calculation (PBE) of a relaxed structure of Ni10SnP3.

Computed properties:
- DOS at the Fermi energy (states/eV per cell) = 59.903
- size of the total moment (μB/f.u.) = 0.00
- calculated volume (Å³/cell) = 1378.3

Cell: 11.129 11.129 11.129 Å, 90.00 90.00 90.00°
Space group Fm-3m (No. 225)
Symmetry-distinct sites (fractional):
Ni: 0.000 0.174 0.174 (multiplicity 48)
Ni: 0.116 0.116 0.384 (multiplicity 32)
Sn: 0.250 0.250 0.250 (multiplicity 8)
P: 0.000 0.000 0.262 (multiplicity 24)

=====

--- two ---
The following is a DFT calculation (PBE) of a relaxed structure of Ni10SnP3.

Computed properties:
- DOS at the Fermi energy (states/eV per cell) = 15.430
- size of the total moment (μB/f.u.) = 0.00
- calculated volume (Å³/cell) = 492.3

Cell: 7.6757 7.6757 9.6493 Å, 90.00 90.00 120.00°
Space group P-3m1 (No. 164)
Symmetry-distinct sites (fractional):
Ni: 0.0000 0.0000 0.1193 (multiplicity 2)
Ni: 0.0000 0.3379 0.0000 (multiplicity 6)
Ni: 0.0185 0.5093 0.7400 (multiplicity 6)
Ni: 0.1368 0.2736 0.3004 (multiplicity 6)
Ni: 0.1895 0.3790 0.5730 (multiplicity 6)
Ni: 0.3333 0.6667 0.4037 (multiplicity 2)
Ni: 0.3333 0.6667 0.8843 (multiplicity 2)
Sn: 0.0000 0.0000 0.5000 (multiplicity 1)
Sn: 0.3333 0.6667 0.1393 (multiplicity 2)
P: 0.0000 0.5000 0.5000 (multiplicity 3)
P: 0.1645 0.3290 0.8095 (multiplicity 6)

=====

The structure with the greatest stability is two.

=====

--- one ---
The following is a DFT calculation (PBE) of a relaxed structure of Sr2NiP.

Computed properties:
- DOS at the Fermi energy (states/eV per cell) = 18.362
- size of the total moment (μB/f.u.) = 0.49
- calculated volume (Å³/cell) = 395.5

Cell: 7.341 7.341 7.341 Å, 90.00 90.00 90.00°
Space group Fm-3m (No. 225)
Symmetry-distinct sites (fractional):
Sr: 0.250 0.250 0.250 (multiplicity 8)
Ni: 0.000 0.000 0.000 (multiplicity 4)
P: 0.000 0.000 0.500 (multiplicity 4)

=====

--- two ---
The following is a DFT calculation (PBE) of a relaxed structure of Sr2NiP.

Computed properties:
- DOS at the Fermi energy (states/eV per cell) = 3.699
- size of the total moment (μB/f.u.) = 0.17
- calculated volume (Å³/cell) = 98.3

Cell: 5.033 5.033 3.880 Å, 90.00 90.00 90.00°
Space group P4/mmm (No. 123)
Symmetry-distinct sites (fractional):
Sr: 0.000 0.500 0.000 (multiplicity 2)
Ni: 0.000 0.000 0.500 (multiplicity 1)
P: 0.500 0.500 0.500 (multiplicity 1)

=====

--- three ---
The following is a DFT calculation (PBE) of a relaxed structure of Sr2NiP.

Computed properties:
- DOS at the Fermi energy (states/eV per cell) = 7.016
- size of the total moment (μB/f.u.) = 0.00
- calculated volume (Å³/cell) = 246.3

Cell: 4.232 6.615 8.796 Å, 90.00 90.00 90.00°
Space group Cmm2 (No. 35)
Symmetry-distinct sites (fractional):
Sr: 0.000 0.000 0.000 (multiplicity 2)
Sr: 0.000 0.500 0.417 (multiplicity 2)
Ni: 0.000 0.000 0.675 (multiplicity 2)
P: 0.000 0.500 0.748 (multiplicity 2)

=====

--- four ---
The following is a DFT calculation (PBE) of a relaxed structure of Sr2NiP.

Computed properties:
- DOS at the Fermi energy (states/eV per cell) = 10.842
- size of the total moment (μB/f.u.) = 0.00
- calculated volume (Å³/cell) = 344.0

Cell: 4.0729 4.0729 23.9486 Å, 90.00 90.00 120.00°
Space group R3m (No. 160, hexagonal axes)
Symmetry-distinct sites (fractional):
Sr: 0.0000 0.0000 0.0000 (multiplicity 3)
Sr: 0.0000 0.0000 0.1684 (multiplicity 3)
Ni: 0.0000 0.0000 0.4173 (multiplicity 3)
P: 0.0000 0.0000 0.7511 (multiplicity 3)

=====

The structure with the greatest stability is four.

=====

--- one ---
The following is a DFT calculation (PBE) of a relaxed structure of Sr2NiP.

Computed properties:
- DOS at the Fermi energy (states/eV per cell) = 15.096
- size of the total moment (μB/f.u.) = 0.00
- calculated volume (Å³/cell) = 363.4

Cell: 7.136 7.136 7.136 Å, 90.00 90.00 90.00°
Space group F-43m (No. 216)
Symmetry-distinct sites (fractional):
Sr: 0.000 0.000 0.000 (multiplicity 4)
Sr: 0.250 0.250 0.250 (multiplicity 4)
Ni: 0.000 0.000 0.500 (multiplicity 4)
P: 0.250 0.250 0.750 (multiplicity 4)

=====

--- two ---
The following is a DFT calculation (PBE) of a relaxed structure of Sr2NiP.

Computed properties:
- DOS at the Fermi energy (states/eV per cell) = 7.594
- size of the total moment (μB/f.u.) = 0.00
- calculated volume (Å³/cell) = 206.4

Cell: 4.218 4.537 10.783 Å, 90.00 90.00 90.00°
Space group Amm2 (No. 38)
Symmetry-distinct sites (fractional):
Sr: 0.000 0.000 0.000 (multiplicity 2)
Sr: 0.500 0.000 0.284 (multiplicity 2)
Ni: 0.500 0.000 0.607 (multiplicity 2)
P: 0.000 0.000 0.690 (multiplicity 2)

=====

--- three ---
The following is a DFT calculation (PBE) of a relaxed structure of Sr2NiP.

Computed properties:
- DOS at the Fermi energy (states/eV per cell) = 8.110
- size of the total moment (μB/f.u.) = 0.04
- calculated volume (Å³/cell) = 198.0

Cell: 4.323 4.323 10.595 Å, 90.00 90.00 90.00°
Space group I-4m2 (No. 119)
Symmetry-distinct sites (fractional):
Sr: 0.000 0.000 0.000 (multiplicity 2)
Sr: 0.000 0.500 0.250 (multiplicity 2)
Ni: 0.000 0.500 0.750 (multiplicity 2)
P: 0.000 0.000 0.500 (multiplicity 2)

=====

--- four ---
The following is a DFT calculation (PBE) of a relaxed structure of Sr2NiP.

Computed properties:
- DOS at the Fermi energy (states/eV per cell) = 8.924
- size of the total moment (μB/f.u.) = 0.00
- calculated volume (Å³/cell) = 437.9

Cell: 7.968 7.968 6.897 Å, 90.00 90.00 90.00°
Space group I-42d (No. 122)
Symmetry-distinct sites (fractional):
Sr: 0.247 0.250 0.125 (multiplicity 8)
Ni: 0.000 0.000 0.000 (multiplicity 4)
P: 0.000 0.000 0.500 (multiplicity 4)

=====

The structure with the greatest stability is two.

=====

--- one ---
The following is a DFT calculation (PBE) of a relaxed structure of SrNi3P.

Computed properties:
- DOS at the Fermi energy (states/eV per cell) = 5.239
- size of the total moment (μB/f.u.) = 0.00
- calculated volume (Å³/cell) = 83.0

Cell: 4.362 4.362 4.362 Å, 90.00 90.00 90.00°
Space group Pm-3m (No. 221)
Symmetry-distinct sites (fractional):
Sr: 0.000 0.000 0.000 (multiplicity 1)
Ni: 0.000 0.500 0.500 (multiplicity 3)
P: 0.500 0.500 0.500 (multiplicity 1)

=====

--- two ---
The following is a DFT calculation (PBE) of a relaxed structure of SrNi3P.

Computed properties:
- DOS at the Fermi energy (states/eV per cell) = 5.093
- size of the total moment (μB/f.u.) = 0.00
- calculated volume (Å³/cell) = 103.2

Cell: 4.691 4.691 4.691 Å, 90.00 90.00 90.00°
Space group Pm-3m (No. 221)
Symmetry-distinct sites (fractional):
Sr: 0.000 0.000 0.000 (multiplicity 1)
Ni: 0.000 0.000 0.500 (multiplicity 3)
P: 0.500 0.500 0.500 (multiplicity 1)

=====

The structure with the greatest stability is one.